[1]
Density functional theory data (GGA-PBE) for a geometry-optimized Ca2CrAg structure.

## Properties
**Total DFT energy (no corrections)**: -3.847 eV per atom
**ΔH_f (0 K)**: 0.272 eV/atom

```
Ca2CrAg
1.0
-2.2753 2.2753 5.0027
2.2753 -2.2753 5.0027
2.2753 2.2753 -5.0027
Ca Cr Ag
2 1 1
Cartesian
0.0000 0.0000 0.0000 Ca
0.0000 2.2753 2.5013 Ca
2.2753 0.0000 2.5013 Cr
0.0000 0.0000 5.0027 Ag
```

---

[2]
Density functional theory data (GGA-PBE) for a geometry-optimized Ca2CrAg structure.

## Properties
**Total DFT energy (no corrections)**: -3.793 eV per atom
**ΔH_f (0 K)**: 0.327 eV/atom

```
Ca2CrAg
1.0
0.0000 3.6819 3.6819
3.6819 0.0000 3.6819
3.6819 3.6819 0.0000
Ca Cr Ag
2 1 1
Cartesian
0.0000 0.0000 0.0000 Ca
1.8409 1.8409 1.8409 Ca
3.6819 3.6819 3.6819 Cr
5.5228 5.5228 5.5228 Ag
```

---

[3]
Density functional theory data (GGA-PBE) for a geometry-optimized Ca2CrAg structure.

## Properties
**Total DFT energy (no corrections)**: -3.916 eV per atom
**ΔH_f (0 K)**: 0.203 eV/atom

```
Ca2CrAg
1.0
3.6991 -3.7245 0.0000
3.6991 3.7245 0.0000
-0.0068 0.0000 3.8127
Ca Cr Ag
2 1 1
Cartesian
1.8496 1.8622 0.0000 Ca
1.8496 -1.8622 0.0000 Ca
-0.0034 0.0000 1.9064 Cr
3.6957 0.0000 1.9064 Ag
```

---

[4]
Density functional theory data (GGA-PBE) for a geometry-optimized CaCrAg3 structure.

## Properties
**Total DFT energy (no corrections)**: -2.873 eV per atom
**ΔH_f (0 K)**: 1.163 eV/atom

```
CaCrAg3
1.0
5.3276 0.0000 0.0000
0.0000 5.3276 0.0000
0.0000 0.0000 5.3276
Ca Cr Ag
1 1 3
Cartesian
0.0000 0.0000 0.0000 Ca
2.6638 2.6638 2.6638 Cr
0.0000 0.0000 2.6638 Ag
0.0000 2.6638 0.0000 Ag
2.6638 0.0000 0.0000 Ag
```

---

[5]
Density functional theory data (GGA-PBE) for a geometry-optimized CaCrAg2 structure.

## Properties
**Total DFT energy (no corrections)**: -4.154 eV per atom
**ΔH_f (0 K)**: 0.178 eV/atom

```
CaCrAg2
1.0
-2.1461 2.1461 4.4893
2.1461 -2.1461 4.4893
2.1461 2.1461 -4.4893
Ca Cr Ag
1 1 2
Cartesian
0.0000 0.0000 0.0000 Ca
2.1461 0.0000 2.2447 Cr
0.0000 0.0000 4.4893 Ag
0.0000 2.1461 2.2447 Ag
```

---

[6]
Density functional theory data (GGA-PBE) for a geometry-optimized CaCrAg structure.

## Properties
**Total DFT energy (no corrections)**: -4.023 eV per atom
**ΔH_f (0 K)**: 0.803 eV/atom

```
CaCrAg
1.0
0.0000 3.4877 3.4877
3.4877 0.0000 3.4877
3.4877 3.4877 0.0000
Ca Cr Ag
1 1 1
Cartesian
0.0000 0.0000 0.0000 Ca
5.2315 5.2315 5.2315 Cr
1.7438 1.7438 1.7438 Ag
```

---

[7]
Density functional theory data (GGA-PBE) for a geometry-optimized CaCrAg2 structure.

## Properties
**Total DFT energy (no corrections)**: -4.106 eV per atom
**ΔH_f (0 K)**: 0.226 eV/atom

```
CaCrAg2
1.0
0.0000 3.4727 3.4727
3.4727 0.0000 3.4727
3.4727 3.4727 0.0000
Ca Cr Ag
1 1 2
Cartesian
0.0000 0.0000 0.0000 Ca
1.7364 1.7364 1.7364 Cr
3.4727 3.4727 3.4727 Ag
5.2091 5.2091 5.2091 Ag
```

---

[8]
Density functional theory data (GGA-PBE) for a geometry-optimized CaCr2Ag structure.

## Properties
**Total DFT energy (no corrections)**: -5.368 eV per atom
**ΔH_f (0 K)**: 0.657 eV/atom

```
CaCr2Ag
1.0
-2.1852 2.1852 4.4501
2.1852 -2.1852 4.4501
2.1852 2.1852 -4.4501
Ca Cr Ag
1 2 1
Cartesian
0.0000 0.0000 0.0000 Ca
0.0000 0.0000 4.4501 Cr
0.0000 2.1852 2.2251 Cr
2.1852 0.0000 2.2251 Ag
```

---

[9]
Density functional theory data (GGA-PBE) for a geometry-optimized Ca2CrAg structure.

## Properties
**Total DFT energy (no corrections)**: -3.947 eV per atom
**ΔH_f (0 K)**: 0.173 eV/atom

```
Ca2CrAg
1.0
4.2232 0.0000 0.0000
0.0000 4.5730 0.0000
-2.0958 0.0000 5.7877
Ca Cr Ag
2 1 1
Cartesian
0.0000 0.0000 0.0000 Ca
0.0049 2.2865 3.3603 Ca
2.1144 2.2865 0.8900 Cr
2.1140 0.0000 2.4677 Ag
```

---

[10]
Density functional theory data (GGA-PBE) for a geometry-optimized Ca2CrAg structure.

## Properties
**Total DFT energy (no corrections)**: -3.692 eV per atom
**ΔH_f (0 K)**: 0.427 eV/atom

```
Ca2CrAg
1.0
1.8527 1.0696 9.5320
-1.8527 1.0696 9.5320
0.0000 -2.1393 9.5320
Ca Cr Ag
2 1 1
Cartesian
0.0000 0.0000 7.0669 Ca
0.0000 0.0000 21.5290 Ca
0.0000 0.0000 0.0000 Cr
0.0000 0.0000 14.2979 Ag
```